(1)
Mg2AlTlCu | the Alexandria database | GGA-PBE | optimized geometry; crystal system = tetragonal; DOS(E_F) = 2.627 states/eV per cell; energy of formation = 0.645 eV/atom; E = -2.03 eV per atom
1.0
-1.636 0.909 -4.824
-2.989 -4.585 0.150
-4.014 2.678 1.866
Al Tl Mg Cu
1 1 2 1
Cartesian
0.000 0.000 0.000 Al
-1.494 -2.292 0.075 Tl
-0.818 0.454 -2.412 Mg
-2.007 1.339 0.933 Mg
-4.319 -0.499 -1.404 Cu

=====

(2)
TmMgAlCu | the Alexandria database | GGA-PBE | optimized geometry; crystal system = cubic; DOS(E_F) = 2.085 states/eV per cell; energy of formation = -0.238 eV/atom; E = -3.71 eV per atom
1.0
4.770 0.000 0.000
2.385 4.131 0.000
2.385 1.377 3.895
Tm Al Mg Cu
1 1 1 1
Cartesian
4.770 2.754 1.947 Tm
7.155 4.131 2.921 Al
0.000 0.000 0.000 Mg
2.385 1.377 0.974 Cu

=====

(3)
YMgAl2Cu4 | the Alexandria database | GGA-PBE | optimized geometry; crystal system = trigonal; DOS(E_F) = 4.437 states/eV per cell; energy of formation = -0.254 eV/atom; E = -4.25 eV per atom
1.0
-0.811 2.334 3.447
-2.715 -1.420 2.932
5.140 -3.452 6.155
Mg Cu Al Y
1 4 2 1
Cartesian
0.807 -1.269 6.267 Mg
-1.092 -0.139 5.055 Cu
-1.272 -0.427 7.816 Cu
2.707 -2.399 7.479 Cu
2.886 -2.111 4.717 Cu
0.519 -0.703 3.207 Al
1.096 -1.835 9.326 Al
0.000 0.000 0.000 Y

=====

(4)
Mg2AlZn5Cu2 | the Alexandria database | GGA-PBE | optimized geometry; crystal system = tetragonal; DOS(E_F) = 6.230 states/eV per cell; energy of formation = -0.075 eV/atom; E = -2.22 eV per atom
1.0
-1.691 -3.013 2.061
7.955 -3.771 1.016
1.171 4.502 7.543
Mg Zn Al Cu
4 10 2 4
Cartesian
1.814 0.752 2.589 Mg
3.495 2.484 6.500 Mg
5.631 -1.753 2.058 Mg
7.311 -0.021 5.970 Mg
0.868 -1.974 1.753 Zn
2.163 -0.060 5.615 Zn
3.132 -3.392 1.538 Zn
6.566 -0.308 8.867 Zn
5.271 -2.222 5.005 Zn
0.626 1.814 7.093 Zn
6.808 -4.096 3.526 Zn
4.499 -0.473 6.928 Zn
2.935 -1.809 3.691 Zn
-0.260 0.745 4.802 Zn
0.000 0.000 0.000 Al
4.563 0.365 4.279 Al
7.517 -1.602 3.828 Cu
5.909 1.689 7.319 Cu
1.608 2.333 4.731 Cu
3.217 -0.958 1.240 Cu

=====

(5)
Mg2AlZn2Cu5 | the Alexandria database | GGA-PBE | optimized geometry; crystal system = tetragonal; DOS(E_F) = 4.757 states/eV per cell; energy of formation = -0.065 eV/atom; E = -3.06 eV per atom
1.0
-2.290 0.112 -2.899
-4.875 -6.547 3.599
-5.025 6.054 4.204
Cu Zn Mg Al
10 4 4 2
Cartesian
-4.781 -0.937 1.385 Cu
-2.440 -0.820 -0.460 Cu
-7.410 0.556 3.520 Cu
-6.713 -1.883 2.875 Cu
-9.751 0.440 5.365 Cu
-5.513 4.481 2.173 Cu
-5.478 1.502 2.030 Cu
-6.678 -4.862 2.732 Cu
-3.658 3.083 0.653 Cu
-3.583 -3.217 0.350 Cu
-6.171 -3.459 4.742 Zn
-7.445 1.232 5.930 Zn
-2.456 -1.724 1.874 Zn
-3.730 2.967 3.061 Zn
-4.168 -3.359 3.163 Mg
-5.733 2.867 4.640 Mg
-7.414 -1.318 5.807 Mg
-2.486 0.825 1.996 Mg
-4.950 -0.246 3.902 Al
0.000 0.000 0.000 Al

=====

(6)
Mg2Al2ZnCu5 | the Alexandria database | GGA-PBE | optimized geometry; crystal system = tetragonal; DOS(E_F) = 4.662 states/eV per cell; energy of formation = -0.040 eV/atom; E = -3.28 eV per atom
1.0
3.352 0.000 0.000
0.000 9.503 0.000
0.000 0.000 9.503
Mg Al Cu Zn
4 4 10 2
Cartesian
0.000 3.131 7.882 Mg
0.000 1.620 3.131 Mg
0.000 7.882 6.372 Mg
0.000 6.372 1.620 Mg
0.000 8.267 3.516 Al
0.000 1.235 5.987 Al
0.000 5.987 8.267 Al
0.000 3.516 1.235 Al
1.676 2.921 5.275 Cu
1.676 0.000 4.751 Cu
1.676 7.672 8.979 Cu
1.676 4.751 0.000 Cu
1.676 6.582 4.228 Cu
1.676 1.831 0.524 Cu
1.676 0.524 7.672 Cu
1.676 8.979 1.831 Cu
1.676 4.228 2.921 Cu
1.676 5.275 6.582 Cu
0.000 4.751 4.751 Zn
0.000 0.000 0.000 Zn

=====

(7)
MnAl2Cu | the Alexandria database | GGA-PBE | optimized geometry; crystal system = tetragonal; DOS(E_F) = 3.111 states/eV per cell; energy of formation = -0.139 eV/atom; E = -5.33 eV per atom
1.0
4.453 -0.039 -0.027
1.164 4.299 0.027
-2.792 -2.151 2.722
Al Cu Mn
2 1 1
Cartesian
0.000 0.000 0.000 Al
2.808 2.130 0.000 Al
2.235 -0.030 1.347 Cu
0.590 2.139 1.375 Mn

=====

(8)
MnAlCu6 | the Alexandria database | GGA-PBE | optimized geometry; crystal system = hexagonal; DOS(E_F) = 2.410 states/eV per cell; energy of formation = -0.050 eV/atom; E = -4.74 eV per atom
1.0
4.294 0.000 0.000
0.000 4.578 -2.449
0.000 -0.169 5.190
Cu Al Mn
6 1 1
Cartesian
0.000 2.518 3.334 Cu
2.147 4.178 -1.805 Cu
0.000 0.305 1.959 Cu
2.147 1.901 -0.588 Cu
0.000 2.603 0.728 Cu
2.147 4.094 0.775 Cu
2.147 1.809 2.006 Al
0.000 0.226 4.554 Mn

=====

(9)
MnAl2Cu | the Alexandria database | GGA-PBE | optimized geometry; crystal system = tetragonal; DOS(E_F) = 2.549 states/eV per cell; energy of formation = -0.194 eV/atom; E = -5.38 eV per atom
1.0
4.805 -0.010 -0.038
2.076 4.334 0.038
-3.419 -2.196 2.565
Mn Al Cu
1 2 1
Cartesian
1.049 2.150 1.302 Mn
2.413 -0.022 1.263 Al
0.000 0.000 0.000 Al
3.441 2.162 0.000 Cu

=====

(10)
MnAl4Cu | the Alexandria database | GGA-PBE | optimized geometry; crystal system = monoclinic; DOS(E_F) = 5.802 states/eV per cell; energy of formation = -0.107 eV/atom; E = -4.81 eV per atom; excess energy over the best structure of this formula in the dataset = 0 meV/atom
1.0
-1.794 3.190 3.046
-4.622 -5.382 0.182
6.049 -1.205 2.469
Al Mn Cu
8 2 2
Cartesian
-4.371 -1.352 3.462 Al
-0.778 -2.057 4.037 Al
4.005 -2.045 2.236 Al
1.662 -3.413 3.095 Al
-2.029 0.016 2.602 Al
0.411 -1.341 1.661 Al
-1.146 -4.642 2.836 Al
0.779 1.245 2.862 Al
-1.327 2.378 2.311 Mn
0.961 -5.775 3.387 Mn
1.692 -0.936 3.837 Cu
-2.058 -2.461 1.860 Cu

=====

(11)
MnAl6Cu | the Alexandria database | GGA-PBE | optimized geometry; crystal system = monoclinic; DOS(E_F) = 4.089 states/eV per cell; energy of formation = 0.010 eV/atom; E = -4.46 eV per atom
1.0
6.854 0.229 0.000
2.347 3.393 0.000
1.173 1.697 5.999
Al Cu Mn
6 1 1
Cartesian
3.484 2.568 2.096 Al
5.717 1.054 2.096 Al
6.890 2.750 3.903 Al
4.657 4.265 3.903 Al
6.853 2.755 0.000 Al
2.348 0.867 0.000 Al
0.000 0.000 0.000 Cu
4.601 1.811 0.000 Mn

=====

(12)
MnAl5Cu | the Alexandria database | GGA-PBE | optimized geometry; crystal system = monoclinic; DOS(E_F) = 4.514 states/eV per cell; energy of formation = -0.072 eV/atom; E = -4.64 eV per atom
1.0
6.587 0.500 2.302
2.564 6.089 2.302
5.499 3.959 8.277
Al Cu Mn
10 2 2
Cartesian
8.058 3.685 8.317 Al
3.939 7.078 4.372 Al
8.599 4.075 4.565 Al
3.302 4.493 4.178 Al
10.712 3.469 8.510 Al
6.051 6.472 8.317 Al
9.342 8.842 8.703 Al
5.308 1.706 4.178 Al
6.592 6.862 4.565 Al
11.349 6.054 8.703 Al
8.700 6.263 8.510 Cu
5.950 4.284 4.372 Cu
0.000 0.000 0.000 Mn
2.750 1.980 4.139 Mn

=====

Question: Among the records above, which one has the lowest DOS(E_F)?
Answer: TmMgAlCu